Density functional theory data (PBEsol) for a relaxed structure of VOF2.

Calculated values
Symmetry: Immm (71)
Uncorrected formation energy, eV per atom: -2.573

Cell lengths 3.020, 3.567, 5.073 Å; angles 110.58, 107.32, 90.00 degrees
Positions (direct):
O: 0.000 0.500 0.000
F: 0.363 0.863 0.726
F: 0.637 0.137 0.274
V: 0.000 0.000 0.000

***

Density functional theory data (PBEsol) for a relaxed structure of Zr5Ag24.

Calculated values
Formation enthalpy at 0 K, eV/atom: 0.01
Symmetry: I-43m (217)

Cell lengths 8.710, 8.710, 8.710 Å; angles 109.47, 109.47, 109.47 degrees
Positions (direct):
Ag: 0.596 0.596 0.278
Ag: 0.810 0.810 0.186
Ag: 0.190 0.377 0.000
Ag: 0.318 0.318 0.722
Ag: 0.000 0.377 0.190
Ag: 0.814 0.623 0.623
Ag: 0.596 0.278 0.596
Ag: 0.000 0.682 0.404
Ag: 0.190 0.000 0.377
Ag: 0.377 0.190 0.000
Ag: 0.186 0.810 0.810
Ag: 0.404 0.000 0.682
Ag: 0.000 0.190 0.377
Ag: 0.682 0.404 0.000
Ag: 0.377 0.000 0.190
Ag: 0.623 0.814 0.623
Ag: 0.682 0.000 0.404
Ag: 0.722 0.318 0.318
Ag: 0.318 0.722 0.318
Ag: 0.404 0.682 0.000
Ag: 0.623 0.623 0.814
Ag: 0.000 0.404 0.682
Ag: 0.810 0.186 0.810
Ag: 0.278 0.596 0.596
Zr: 0.641 0.000 0.000
Zr: 0.359 0.359 0.359
Zr: 0.000 0.641 0.000
Zr: 0.000 0.000 0.000
Zr: 0.000 0.000 0.641

***

Density functional theory data (PBEsol) for a relaxed structure of CrRuBr4.

Calculated values
Symmetry: F-43m (216)
Uncorrected formation energy, eV per atom: 1.518

Cell lengths 5.961, 5.961, 5.961 Å; angles 60.00, 60.00, 60.00 degrees
Positions (direct):
Cr: 0.750 0.750 0.750
Br: 0.374 0.374 0.877
Br: 0.374 0.374 0.374
Br: 0.374 0.877 0.374
Br: 0.877 0.374 0.374
Ru: 0.000 0.000 0.000

***

Density functional theory data (PBEsol) for a relaxed structure of SrP2Pd2.

Calculated values
Formation enthalpy at 0 K, eV/atom: -0.73
Symmetry: I4/mmm (139)

Cell lengths 4.473, 4.473, 5.605 Å; angles 113.51, 113.51, 90.00 degrees
Positions (direct):
Pd: 0.347 0.347 0.694
Pd: 0.653 0.653 0.306
P: 0.250 0.750 0.500
P: 0.750 0.250 0.500
Sr: 0.000 0.000 0.000

***

What did we get for D(E_F)? Answer: 3.9, 15.7, 10.3, 2.3 states/eV/cell, in the order shown.
What did we get for calculated total energy? Answer: -29.0, -124.6, -18.8, -29.0 eV for the cell shown, in the order shown.